# 1
DFT (PBE) results for an optimized crystal structure of ScHgI3.

Output
As for the space group: Pnma (62). The uncorrected formation energy is -0.809 eV per atom.

a b c (Å): 8.0868 11.5496 8.1080
angles (deg): 90.00 90.00 90.00
Closest atoms and distances in Å follow each position.
Fractional coordinates of all 20 atoms:
I 0.2139 0.9778 0.7856  2 Sc 2.90
I 0.2861 0.4778 0.2856  2 Sc 2.90
I 0.2861 0.0222 0.2856  2 Sc 2.90
I 0.7861 0.4778 0.2144  2 Sc 2.90
I 0.7861 0.0222 0.2144  2 Sc 2.90
I 0.7139 0.5222 0.7144  2 Sc 2.90
I 0.7139 0.9778 0.7144  2 Sc 2.90
I 0.2139 0.5222 0.7856  2 Sc 2.90
I 0.5030 0.2500 0.9534  2 Sc 2.91
I 0.9970 0.7500 0.4534  2 Sc 2.91
I 0.4970 0.7500 0.0466  2 Sc 2.91
I 0.0030 0.2500 0.5466  2 Sc 2.91
Sc 0.0000 0.0000 0.5000  6 I 2.90-2.91
Sc 0.5000 0.5000 0.0000  6 I 2.90-2.91
Sc 0.5000 0.0000 0.0000  6 I 2.90-2.91
Sc 0.0000 0.5000 0.5000  6 I 2.90-2.91
Hg 0.5293 0.2500 0.4932  8 I 3.69-4.04
Hg 0.9707 0.7500 0.9932  8 I 3.69-4.04
Hg 0.4707 0.7500 0.5068  8 I 3.69-4.04
Hg 0.0293 0.2500 0.0068  8 I 3.69-4.04

# 2
DFT (PBE) results for an optimized crystal structure of Ce2Pa2MnGe4.

Output
For the formation energy, the calculation gives -399.5 meV/atom. As for the space group: I4/mmm (139).

a b c (Å): 6.3516 6.3516 6.3516
angles (deg): 104.49 112.02 112.02
Closest atoms and distances in Å follow each position.
Fractional coordinates of all 9 atoms:
Ce 0.5000 0.7500 0.2500  8 Ge 3.18
Ce 0.5000 0.2500 0.7500  8 Ge 3.18
Pa 0.0000 0.6964 0.6964  1 Mn 2.36
Pa 0.0000 0.3036 0.3036  1 Mn 2.36
Mn 0.0000 0.0000 0.0000  2 Pa 2.36, 4 Ge 2.45
Ge 0.0000 0.7563 0.2437  1 Mn 2.45
Ge 0.5126 0.7563 0.7563  1 Mn 2.45
Ge 0.0000 0.2437 0.7563  1 Mn 2.45
Ge 0.4874 0.2437 0.2437  1 Mn 2.45

Per-record Fermi-level density of states, states/eV/f.u.: 0.00 15.31